Entry 1:
First-principles (PBE) data for an optimized crystal structure of Y2HoSc3NiTe2, as listed in the Open Quantum Materials Database.

a b c (Å): 3.9365 13.8857 7.9932
angles (deg): 90.00 90.00 90.00
Space group Amm2 (No. 38)
Inequivalent atoms, fractional coordinates:
Y1 0.0000 0.1967 0.0000 (multiplicity 4)
Ho1 0.0000 0.0000 0.5887 (multiplicity 2)
Sc1 0.5000 0.0000 0.9651 (multiplicity 2)
Sc2 0.5000 0.1152 0.3121 (multiplicity 4)
Ni1 0.0000 0.0000 0.1988 (multiplicity 2)
Te1 0.5000 0.1662 0.6963 (multiplicity 4)



Entry 2:
First-principles (PBE) data for an optimized crystal structure of HoScTlNi2, as listed in the Open Quantum Materials Database.

a b c (Å): 3.5507 3.8167 14.1782
angles (deg): 90.00 90.00 90.00
Space group Amm2 (No. 38)
Inequivalent atoms, fractional coordinates:
Ho1 0.0000 0.0000 0.0000 (multiplicity 2)
Sc1 0.0000 0.0000 0.2812 (multiplicity 2)
Tl1 0.5000 0.0000 0.6440 (multiplicity 2)
Ni1 0.5000 0.0000 0.4382 (multiplicity 2)
Ni2 0.5000 0.0000 0.8357 (multiplicity 2)



Number 1: DFT total energy -6.110 eV/atom. Number 2: DFT total energy -5.338 eV/atom.